VASP calculation (PBE-GGA) on a relaxed CdAsRh2 crystal.

abc: 3.010 3.010 7.042
angles: 90.00 90.00 90.00
Space group P4/mmm (No. 123)
Asymmetric unit:
Cd 0.000 0.000 0.000
As 0.000 0.000 0.500
Rh 0.500 0.500 0.288

Summary:
Excess energy over the best structure of this formula in the dataset (meV per atom): 0
Density (g cm⁻³): 10.23
DFT formation energy (meV/atom): -263

VASP calculation (PBE-GGA) on a relaxed NdPu2Re crystal.

abc: 3.299 3.299 9.162
angles: 90.00 90.00 90.00
Space group P4/mmm (No. 123)
Asymmetric unit:
Nd 0.000 0.000 0.000
Pu 0.500 0.500 0.307
Re 0.000 0.000 0.500

Summary:
Density (g cm⁻³): 13.63
DFT formation energy (meV/atom): 215

VASP calculation (PBE-GGA) on a relaxed AcInCuAu6 crystal.

abc: 7.739 9.403 11.006
angles: 90.00 90.00 90.00
Space group Imma (No. 74)
Asymmetric unit:
Ac 0.000 0.250 0.207
In 0.250 0.250 0.750
Cu 0.000 0.000 0.000
Au 0.000 0.250 0.515
Au 0.000 0.250 0.922
Au 0.198 0.017 0.375

Summary:
Density (g cm⁻³): 13.16
DFT formation energy (meV/atom): -221